[1]
{
  "formula": "ErVNiRu",
  "functional": "PBE",
  "state": "optimized geometry",
  "final_energy_ha_per_atom": -0.2686,
  "dos_ef_per_ev_cell": 3.99,
  "ef_kj_per_mol_atoms": -12,
  "spacegroup": "F-43m",
  "cell": [[0.0000, 3.1721, 3.1721], [3.1721, 0.0000, 3.1721], [3.1721, 3.1721, 0.0000]],
  "species": ["Er", "V", "Ni", "Ru"],
  "fractional_positions": [[0.0000, 0.0000, 0.0000], [0.5000, 0.5000, 0.5000], [0.2500, 0.2500, 0.2500], [0.7500, 0.7500, 0.7500]]
}



[2]
{
  "formula": "ZrFe2Cu2",
  "functional": "PBE",
  "state": "optimized geometry",
  "de_polymorph_ev_per_atom": 0.080,
  "final_energy_ha_per_atom": -0.2410,
  "dos_ef_per_ev_cell": 12.01,
  "ef_kj_per_mol_atoms": 17,
  "spacegroup": "P4/mbm",
  "cell": [[7.2605, 0.0000, 0.0000], [0.0000, 7.2605, 0.0000], [0.0000, 0.0000, 2.6590]],
  "species": ["Zr", "Zr", "Fe", "Fe", "Fe", "Fe", "Cu", "Cu", "Cu", "Cu"],
  "fractional_positions": [[0.0000, 0.0000, 0.0000], [0.5000, 0.5000, 0.0000], [0.1740, 0.3260, 0.5000], [0.3260, 0.8260, 0.5000], [0.6740, 0.1740, 0.5000], [0.8260, 0.6740, 0.5000], [0.1208, 0.6208, 0.0000], [0.3792, 0.1208, 0.0000], [0.6208, 0.8792, 0.0000], [0.8792, 0.3792, 0.0000]]
}



[3]
{
  "formula": "Zn2NiSb",
  "functional": "PBE",
  "state": "optimized geometry",
  "final_energy_ha_per_atom": -0.1122,
  "dos_ef_per_ev_cell": 2.06,
  "spacegroup": "Pmm2",
  "cell": [[3.1053, 0.0000, 0.0000], [0.0000, 3.4204, 0.0000], [0.0000, 0.0000, 6.3317]],
  "species": ["Zn", "Zn", "Ni", "Sb"],
  "fractional_positions": [[0.0000, 0.0000, 0.0000], [0.5000, 0.5000, 0.2168], [0.0000, 0.0000, 0.4056], [0.5000, 0.5000, 0.6618]]
}



[4]
{
  "formula": "NaDyGa2",
  "functional": "PBE",
  "state": "optimized geometry",
  "de_polymorph_ev_per_atom": 0.021,
  "final_energy_ha_per_atom": -0.1206,
  "dos_ef_per_ev_cell": 1.67,
  "ef_kj_per_mol_atoms": -28,
  "spacegroup": "Fm-3m",
  "cell": [[0.0000, 3.5381, 3.5381], [3.5381, 0.0000, 3.5381], [3.5381, 3.5381, 0.0000]],
  "species": ["Na", "Dy", "Ga", "Ga"],
  "fractional_positions": [[0.0000, 0.0000, 0.0000], [0.5000, 0.5000, 0.5000], [0.2500, 0.2500, 0.2500], [0.7500, 0.7500, 0.7500]]
}



[5]
{
  "formula": "PuScIr",
  "functional": "PBE",
  "state": "optimized geometry",
  "de_polymorph_ev_per_atom": 0.024,
  "final_energy_ha_per_atom": -0.3772,
  "dos_ef_per_ev_cell": 7.28,
  "ef_kj_per_mol_atoms": -41,
  "spacegroup": "I4mm",
  "cell": [[-1.6143, 1.6143, 6.2334], [1.6143, -1.6143, 6.2334], [1.6143, 1.6143, -6.2334]],
  "species": ["Pu", "Sc", "Ir"],
  "fractional_positions": [[0.0000, 0.0000, 0.0000], [0.2773, 0.2773, 0.0000], [0.6562, 0.6562, 0.0000]]
}



[6]
{
  "formula": "Pr3NiIr",
  "functional": "PBE",
  "state": "optimized geometry",
  "de_polymorph_ev_per_atom": 0.000,
  "final_energy_ha_per_atom": -0.2266,
  "dos_ef_per_ev_cell": 9.75,
  "ef_kj_per_mol_atoms": -36,
  "spacegroup": "Pmmn",
  "cell": [[4.0312, 0.0000, 0.0000], [0.0000, 9.7672, 0.0000], [0.0000, 0.0000, 6.6678]],
  "species": ["Pr", "Pr", "Pr", "Pr", "Pr", "Pr", "Ni", "Ni", "Ir", "Ir"],
  "fractional_positions": [[0.2500, 0.0600, 0.2353], [0.2500, 0.2500, 0.7304], [0.2500, 0.4400, 0.2353], [0.7500, 0.5600, 0.7647], [0.7500, 0.7500, 0.2696], [0.7500, 0.9400, 0.7647], [0.2500, 0.7500, 0.5732], [0.7500, 0.2500, 0.4268], [0.2500, 0.7500, 0.9584], [0.7500, 0.2500, 0.0416]]
}



[7]
{
  "formula": "Sm7SbBr12",
  "functional": "PBE",
  "state": "optimized geometry",
  "final_energy_ha_per_atom": -0.1643,
  "dos_ef_per_ev_cell": 4.18,
  "spacegroup": "R-3",
  "cell": [[7.6750, 4.4312, 3.3473], [-7.6750, 4.4312, 3.3473], [0.0000, -8.8624, 3.3473]],
  "species": ["Sm", "Sm", "Sm", "Sm", "Sm", "Sm", "Sm", "Sb", "Br", "Br", "Br", "Br", "Br", "Br", "Br", "Br", "Br", "Br", "Br", "Br"],
  "fractional_positions": [[0.0000, 0.0000, 0.0000], [0.1625, 0.3845, 0.4609], [0.3845, 0.4609, 0.1625], [0.4609, 0.1625, 0.3845], [0.5391, 0.8375, 0.6155], [0.6155, 0.5391, 0.8375], [0.8375, 0.6155, 0.5391], [0.5000, 0.5000, 0.5000], [0.0276, 0.3375, 0.1080], [0.1080, 0.0276, 0.3375], [0.1908, 0.7268, 0.5771], [0.2732, 0.4229, 0.8092], [0.3375, 0.1080, 0.0276], [0.4229, 0.8092, 0.2732], [0.5771, 0.1908, 0.7268], [0.6625, 0.8920, 0.9724], [0.7268, 0.5771, 0.1908], [0.8092, 0.2732, 0.4229], [0.8920, 0.9724, 0.6625], [0.9724, 0.6625, 0.8920]]
}



[8]
{
  "formula": "Ti3VN",
  "functional": "PBE",
  "state": "optimized geometry",
  "de_polymorph_ev_per_atom": 0.000,
  "final_energy_ha_per_atom": -0.3277,
  "dos_ef_per_ev_cell": 4.22,
  "spacegroup": "Pm-3m",
  "cell": [[4.1152, 0.0000, 0.0000], [0.0000, 4.1152, 0.0000], [0.0000, 0.0000, 4.1152]],
  "species": ["Ti", "Ti", "Ti", "V", "N"],
  "fractional_positions": [[0.0000, 0.0000, 0.5000], [0.0000, 0.5000, 0.0000], [0.5000, 0.0000, 0.0000], [0.5000, 0.5000, 0.5000], [0.0000, 0.0000, 0.0000]]
}



[9]
{
  "formula": "La2ReAg",
  "functional": "PBE",
  "state": "optimized geometry",
  "de_polymorph_ev_per_atom": 0.350,
  "final_energy_ha_per_atom": -0.2162,
  "dos_ef_per_ev_cell": 4.01,
  "ef_kj_per_mol_atoms": 39,
  "spacegroup": "I-42d",
  "cell": [[-4.0570, 4.0570, 3.1456], [4.0570, -4.0570, 3.1456], [4.0570, 4.0570, -3.1456]],
  "species": ["La", "La", "La", "La", "Re", "Re", "Ag", "Ag"],
  "fractional_positions": [[0.0821, 0.6250, 0.9571], [0.3750, 0.3321, 0.4571], [0.6679, 0.1250, 0.0429], [0.8750, 0.9179, 0.5429], [0.0000, 0.0000, 0.0000], [0.7500, 0.2500, 0.5000], [0.2500, 0.7500, 0.5000], [0.5000, 0.5000, 0.0000]]
}



[10]
{
  "formula": "Nb2InFeTe",
  "functional": "PBE",
  "state": "optimized geometry",
  "de_polymorph_ev_per_atom": 0.000,
  "final_energy_ha_per_atom": -0.2134,
  "dos_ef_per_ev_cell": 4.51,
  "spacegroup": "P4/mmm",
  "cell": [[5.0940, 0.0000, 0.0000], [0.0000, 5.0940, 0.0000], [0.0000, 0.0000, 4.5925]],
  "species": ["Nb", "Nb", "In", "Fe", "Te"],
  "fractional_positions": [[0.0000, 0.5000, 0.0000], [0.5000, 0.0000, 0.0000], [0.0000, 0.0000, 0.5000], [0.5000, 0.5000, 0.5000], [0.5000, 0.5000, 0.0000]]
}



[11]
{
  "formula": "NaSi3Sn",
  "functional": "PBE",
  "state": "optimized geometry",
  "de_polymorph_ev_per_atom": 0.000,
  "final_energy_ha_per_atom": -0.1207,
  "dos_ef_per_ev_cell": 3.26,
  "spacegroup": "Pm-3m",
  "cell": [[5.2504, 0.0000, 0.0000], [0.0000, 5.2504, 0.0000], [0.0000, 0.0000, 5.2504]],
  "species": ["Na", "Si", "Si", "Si", "Sn"],
  "fractional_positions": [[0.0000, 0.0000, 0.0000], [0.0000, 0.5000, 0.5000], [0.5000, 0.0000, 0.5000], [0.5000, 0.5000, 0.0000], [0.5000, 0.5000, 0.5000]]
}



[12]
{
  "formula": "TiB2P",
  "functional": "PBE",
  "state": "optimized geometry",
  "de_polymorph_ev_per_atom": 0.852,
  "final_energy_ha_per_atom": -0.2106,
  "dos_ef_per_ev_cell": 3.51,
  "ef_kj_per_mol_atoms": 90,
  "spacegroup": "Fm-3m",
  "cell": [[0.0000, 2.7710, 2.7710], [2.7710, 0.0000, 2.7710], [2.7710, 2.7710, 0.0000]],
  "species": ["Ti", "B", "B", "P"],
  "fractional_positions": [[0.0000, 0.0000, 0.0000], [0.2500, 0.2500, 0.2500], [0.7500, 0.7500, 0.7500], [0.5000, 0.5000, 0.5000]]
}